The following is a DFT calculation (GGA-PBE) of a geometry-optimized La4Al3Zn structure.

- Uncorrected energy: -4.371 eV per atom
- N(E_F): 0.913 states/eV/atom
- Magnetic moment: 0.00 μB per cell
- ΔH_f (0 K): -344 meV per atom

Cell: 5.3651 5.3651 26.3451 Å, 90.00 90.00 120.00°
Space group R-3m (No. 166, hexagonal axes)
Inequivalent atoms, fractional coordinates:
La: 0.0000 0.0000 0.1237 (multiplicity 6)
La: 0.0000 0.0000 0.3736 (multiplicity 6)
Al: 0.0000 0.0000 0.2496 (multiplicity 6)
Al: 0.0000 0.0000 0.5000 (multiplicity 3)
Zn: 0.0000 0.0000 0.0000 (multiplicity 3)

The following is a DFT calculation (GGA-PBE) of a geometry-optimized La5AlZn4 structure.

- Uncorrected energy: -3.667 eV per atom
- N(E_F): 1.232 states/eV/atom
- Magnetic moment: 0.00 μB per cell
- ΔH_f (0 K): -319 meV per atom

Cell: 3.760 3.760 18.949 Å, 90.00 90.00 90.00°
Space group P4/mmm (No. 123)
Inequivalent atoms, fractional coordinates:
La: 0.000 0.000 0.000 (multiplicity 1)
La: 0.000 0.000 0.199 (multiplicity 2)
La: 0.000 0.000 0.399 (multiplicity 2)
Al: 0.500 0.500 0.500 (multiplicity 1)
Zn: 0.500 0.500 0.099 (multiplicity 2)
Zn: 0.500 0.500 0.298 (multiplicity 2)

Please write out number 1 again, unchanged.
The following is a DFT calculation (GGA-PBE) of a geometry-optimized La4Al3Zn structure.

- Uncorrected energy: -4.371 eV per atom
- N(E_F): 0.913 states/eV/atom
- Magnetic moment: 0.00 μB per cell
- ΔH_f (0 K): -344 meV per atom

Cell: 5.3651 5.3651 26.3451 Å, 90.00 90.00 120.00°
Space group R-3m (No. 166, hexagonal axes)
Inequivalent atoms, fractional coordinates:
La: 0.0000 0.0000 0.1237 (multiplicity 6)
La: 0.0000 0.0000 0.3736 (multiplicity 6)
Al: 0.0000 0.0000 0.2496 (multiplicity 6)
Al: 0.0000 0.0000 0.5000 (multiplicity 3)
Zn: 0.0000 0.0000 0.0000 (multiplicity 3)